# FeOsSe2

FeOsSe2 after structural relaxation (GGA-PBE, the Alexandria database).

Cell: 3.729 3.729 6.750 Å, 90.03 90.03 59.83°
Site moments in Bohr magnetons follow the coordinates.
Fractional coordinates of all 4 atoms:
Se 0.957 0.957 0.127  -0.01
Fe 0.625 0.625 0.281  1.46
Os 0.292 0.292 0.445  0.22
Se 0.626 0.626 0.648  0.00

## Properties
Magnetic moment (μB per formula unit): 1.7
Total energy (eV for the cell shown): -26.05
V (A^3/atom): 20.283
Relative energy among the computed polymorphs (eV/atom): 0.1673
Density of states at the Fermi level (states/eV per cell): 3.03
Space-group type: Cm, No. 8